(1)
AcCeDyTm after structural relaxation. Source: the Alexandria database, functional GGA-PBE.

The value obtained for the density of states at the Fermi level is 9.89 states/eV/cell. For the calculated formation energy, the calculation gives 0.71 eV per formula unit.

The structure in POSCAR format:
```
AcCeDyTm
1.0
5.804 0.000 0.000
2.902 5.026 0.000
2.902 1.675 4.739
Ac Tm Ce Dy
1 1 1 1
Cartesian
2.902 1.675 1.185 Ac
0.000 0.000 0.000 Tm
8.706 5.026 3.554 Ce
5.804 3.351 2.369 Dy
```


(2)
AcCeEr2 after structural relaxation. Source: the Alexandria database, functional GGA-PBE.

The value obtained for the density of states at the Fermi level is 7.44 states/eV/cell. For the calculated formation energy, the calculation gives 0.37 eV per formula unit. As for the energy relative to the lowest polymorph listed for this composition: 0 meV per atom.

The structure in POSCAR format:
```
AcCeEr2
1.0
3.685 0.000 0.000
0.000 3.685 0.000
0.000 0.000 9.907
Ac Ce Er
1 1 2
Cartesian
1.842 1.842 4.953 Ac
1.842 1.842 0.000 Ce
0.000 0.000 7.629 Er
0.000 0.000 2.278 Er
```


(3)
AcCeEr after structural relaxation. Source: the Alexandria database, functional GGA-PBE.

The value obtained for the density of states at the Fermi level is 7.59 states/eV/cell. For the calculated formation energy, the calculation gives 0.41 eV per formula unit. As for the energy relative to the lowest polymorph listed for this composition: 11 meV per atom.

The structure in POSCAR format:
```
AcCeEr
1.0
-0.887 -0.392 -3.552
-2.104 -1.534 2.603
-4.901 7.414 0.407
Ac Ce Er
1 1 1
Cartesian
-4.891 7.399 0.406 Ac
-4.923 3.725 0.819 Ce
-2.979 1.778 -1.360 Er
```


calculated formation energy of number 2 (AcCeEr2)?
0.37 eV per formula unit


calculated formation energy of number 3 (AcCeEr)?
0.41 eV per formula unit